1.
Sm4Mg3Ga | PBE-GGA | relaxed

Symmetry: P4/mmm
Total DFT energy (no corrections) in eV/atom: -3.55
N(E_F) in states/eV/f.u.: 8.41

Unit cell a=3.7603 b=3.7603 c=15.5006 alpha=90.00 beta=90.00 gamma=90.00
Closest atoms and distances in Å follow each position.
Atoms (fractional coordinates):
Sm (0.0000, 0.0000, 0.1116)  4 Ga 3.17, 4 Mg 3.36, 1 Sm 3.46
Sm (0.0000, 0.0000, 0.3706)  8 Mg 3.30-3.33
Sm (0.0000, 0.0000, 0.6294)  8 Mg 3.30-3.33
Sm (0.0000, 0.0000, 0.8884)  4 Ga 3.17, 4 Mg 3.36, 1 Sm 3.46
Mg (0.5000, 0.5000, 0.2444)  8 Sm 3.30-3.36
Mg (0.5000, 0.5000, 0.5000)  8 Sm 3.33
Mg (0.5000, 0.5000, 0.7556)  8 Sm 3.30-3.36
Ga (0.5000, 0.5000, 0.0000)  8 Sm 3.17

---

2.
V2Ga4W | PBE-GGA | relaxed

Symmetry: I4/mmm
Total DFT energy (no corrections) in eV/atom: -5.64
N(E_F) in states/eV/f.u.: 2.74

Unit cell a=6.9902 b=6.9902 c=6.9902 alpha=138.45 beta=138.45 gamma=60.22
Closest atoms and distances in Å follow each position.
Atoms (fractional coordinates):
V (0.0780, 0.0780, 0.0000)  1 V 1.89
V (0.9220, 0.9220, 0.0000)  1 V 1.89
Ga (0.0000, 0.5000, 0.5000)  2 W 2.48, 4 V 2.65
Ga (0.2932, 0.2932, 0.0000)  1 W 2.50, 1 V 2.60
Ga (0.5000, 0.0000, 0.5000)  2 W 2.48, 4 V 2.65
Ga (0.7068, 0.7068, 0.0000)  1 W 2.50, 1 V 2.60
W (0.5000, 0.5000, 0.0000)  6 Ga 2.48-2.50

---

3.
AsC2I | PBE-GGA | relaxed

Symmetry: Fm-3m
E_form (uncorrected) in eV/atom: 2.832
N(E_F) in states/eV/f.u.: 2.69
E above lowest polymorph in eV/atom: 0.959

Unit cell a=4.3553 b=4.3553 c=4.3553 alpha=60.00 beta=60.00 gamma=60.00
Closest atoms and distances in Å follow each position.
Atoms (fractional coordinates):
As (0.0000, 0.0000, 0.0000)  8 C 2.67
C (0.2500, 0.2500, 0.2500)  4 As 2.67, 4 I 2.67
C (0.7500, 0.7500, 0.7500)  4 As 2.67, 4 I 2.67
I (0.5000, 0.5000, 0.5000)  8 C 2.67

---

4.
RbRu3Rh | PBE-GGA | relaxed

Symmetry: Pm-3m
N(E_F) in states/eV/f.u.: 10.15
E above lowest polymorph in eV/atom: 0.000

Unit cell a=4.8474 b=4.8474 c=4.8474 alpha=90.00 beta=90.00 gamma=90.00
Closest atoms and distances in Å follow each position.
Atoms (fractional coordinates):
Rb (0.0000, 0.0000, 0.0000)  12 Ru 3.43
Ru (0.0000, 0.5000, 0.5000)  2 Rh 2.42
Ru (0.5000, 0.0000, 0.5000)  2 Rh 2.42
Ru (0.5000, 0.5000, 0.0000)  2 Rh 2.42
Rh (0.5000, 0.5000, 0.5000)  6 Ru 2.42

---

Repeat the third record exactly.
AsC2I | PBE-GGA | relaxed

Symmetry: Fm-3m
E_form (uncorrected) in eV/atom: 2.832
N(E_F) in states/eV/f.u.: 2.69
E above lowest polymorph in eV/atom: 0.959

Unit cell a=4.3553 b=4.3553 c=4.3553 alpha=60.00 beta=60.00 gamma=60.00
Closest atoms and distances in Å follow each position.
Atoms (fractional coordinates):
As (0.0000, 0.0000, 0.0000)  8 C 2.67
C (0.2500, 0.2500, 0.2500)  4 As 2.67, 4 I 2.67
C (0.7500, 0.7500, 0.7500)  4 As 2.67, 4 I 2.67
I (0.5000, 0.5000, 0.5000)  8 C 2.67

---

Q: What is the N(E_F) in the first record?
A: 8.41 states/eV/f.u.

---

Please write out number 3 again, unchanged.
AsC2I | PBE-GGA | relaxed

Symmetry: Fm-3m
E_form (uncorrected) in eV/atom: 2.832
N(E_F) in states/eV/f.u.: 2.69
E above lowest polymorph in eV/atom: 0.959

Unit cell a=4.3553 b=4.3553 c=4.3553 alpha=60.00 beta=60.00 gamma=60.00
Closest atoms and distances in Å follow each position.
Atoms (fractional coordinates):
As (0.0000, 0.0000, 0.0000)  8 C 2.67
C (0.2500, 0.2500, 0.2500)  4 As 2.67, 4 I 2.67
C (0.7500, 0.7500, 0.7500)  4 As 2.67, 4 I 2.67
I (0.5000, 0.5000, 0.5000)  8 C 2.67